# 1
Computed, not measured: an optimized crystal structure of La2PrNd4Th at the PBE level of DFT.

It has space group P2/m (No. 10), with a = 6.3996 Å, b = 3.6821 Å, c = 12.1886 Å, α = 90.00°, β = 99.99° and γ = 90.00°. The distinct sites, in fractional coordinates, are La at (0.0000, 0.0000, 0.0000), La at (0.0000, 0.5000, 0.5000), Pr at (0.5000, 0.0000, 0.5000), Nd at (0.2543, 0.5000, 0.2479), Nd at (0.2577, 0.0000, 0.7577) and Th at (0.5000, 0.5000, 0.0000).

The calculation puts the volume at 35.357 A^3/atom. The total moment comes out at 0.00 μB/f.u. Its crystal system is monoclinic. As for the density of states at the Fermi level: 13.63 states/eV per cell. Its formation energy is 0.2 eV/f.u.

***

# 2
Computed, not measured: an optimized crystal structure of Mn3NbAu at the PBE level of DFT.

It has space group Pm-3m (No. 221), with a = 4.6538 Å, b = 4.6538 Å, c = 4.6538 Å, α = 90.00°, β = 90.00° and γ = 90.00°. The distinct sites, in fractional coordinates, are Mn at (0.0000, 0.0000, 0.5000), Nb at (0.0000, 0.0000, 0.0000) and Au at (0.5000, 0.5000, 0.5000).

The calculation puts the volume at 20.158 A^3/atom. For the distance to the lowest polymorph of the same formula, the calculation gives 0.120 eV/f.u. The total moment comes out at 8.32 μB/f.u. Its crystal system is cubic. As for the density of states at the Fermi level: 5.41 states/eV per cell. Its formation energy is 6.4 eV/f.u.

***

# 3
Computed, not measured: an optimized crystal structure of LiBi2Pd at the PBE level of DFT.

It has space group R3m (No. 160, hexagonal axes), with a = 4.5070 Å, b = 4.5070 Å, c = 17.0710 Å, α = 90.00°, β = 90.00° and γ = 120.00°. The distinct sites, in fractional coordinates, are Li at (0.0000, 0.0000, 0.0000), Bi at (0.0000, 0.0000, 0.5710), Bi at (0.0000, 0.0000, 0.7649) and Pd at (0.0000, 0.0000, 0.1667).

The calculation puts the volume at 25.025 A^3/atom. For the distance to the lowest polymorph of the same formula, the calculation gives 0.213 eV/f.u. The total moment comes out at 0.00 μB/f.u. Its crystal system is trigonal. As for the density of states at the Fermi level: 4.38 states/eV per cell. Its formation energy is -1.2 eV/f.u.

***

# 4
Computed, not measured: an optimized crystal structure of Ca3AgRh at the PBE level of DFT.

It has space group Pm-3m (No. 221), with a = 5.4121 Å, b = 5.4121 Å, c = 5.4121 Å, α = 90.00°, β = 90.00° and γ = 90.00°. The distinct sites, in fractional coordinates, are Ca at (0.0000, 0.0000, 0.5000), Ag at (0.5000, 0.5000, 0.5000) and Rh at (0.0000, 0.0000, 0.0000).

The calculation puts the volume at 31.705 A^3/atom. For the distance to the lowest polymorph of the same formula, the calculation gives 0.885 eV/f.u. The total moment comes out at 0.00 μB/f.u. Its crystal system is cubic. As for the density of states at the Fermi level: 2.99 states/eV per cell. Its formation energy is -0.8 eV/f.u.

***

# 5
Computed, not measured: an optimized crystal structure of BaSrRe2O8 at the PBE level of DFT.

It has space group P-3m1 (No. 164), with a = 6.0611 Å, b = 6.0611 Å, c = 7.9155 Å, α = 90.00°, β = 90.00° and γ = 120.00°. The distinct sites, in fractional coordinates, are Ba at (0.0000, 0.0000, 0.0000), Sr at (0.0000, 0.0000, 0.5000), Re at (0.3333, 0.6667, 0.7913), O at (0.1692, 0.3383, 0.7215) and O at (0.3333, 0.6667, 0.0172).

The calculation puts the volume at 20.986 A^3/atom. The total moment comes out at 2.01 μB/f.u. Its crystal system is trigonal. As for the density of states at the Fermi level: 10.44 states/eV per cell. Its uncorrected formation energy is -2.05 eV/atom.

***

# 6
Computed, not measured: an optimized crystal structure of Tb7Co2Pb2 at the PBE level of DFT.

It has space group Cmmm (No. 65), with a = 7.9964 Å, b = 10.9844 Å, c = 7.1436 Å, α = 90.00°, β = 90.00° and γ = 90.00°. The distinct sites, in fractional coordinates, are Tb at (0.0000, 0.0000, 0.0000), Tb at (0.0000, 0.5000, 0.2214), Tb at (0.2500, 0.2500, 0.2363), Co at (0.0000, 0.2873, 0.0000) and Pb at (0.1896, 0.0000, 0.5000).

The calculation puts the volume at 28.521 A^3/atom. The total moment comes out at 0.00 μB/f.u. Its crystal system is orthorhombic. As for the density of states at the Fermi level: 17.10 states/eV per cell. Its formation energy is -2.1 eV/f.u.

***

# 7
Computed, not measured: an optimized crystal structure of Cs2SnClF6 at the PBE level of DFT.

It has space group I4/mmm (No. 139), with a = 6.8171 Å, b = 6.8171 Å, c = 10.1471 Å, α = 90.00°, β = 90.00° and γ = 90.00°. The distinct sites, in fractional coordinates, are Cs at (0.0000, 0.5000, 0.2500), Sn at (0.0000, 0.0000, 0.0000), Cl at (0.0000, 0.0000, 0.5000), F at (0.0000, 0.0000, 0.1973) and F at (0.2080, 0.2080, 0.0000).

The calculation puts the volume at 23.578 A^3/atom. For the distance to the lowest polymorph of the same formula, the calculation gives 0.520 eV/f.u. The total moment comes out at 1.00 μB/f.u. Its crystal system is tetragonal. As for the density of states at the Fermi level: 8.86 states/eV per cell. Its uncorrected formation energy is -2.32 eV/atom.

***

# 8
Computed, not measured: an optimized crystal structure of Hf2TcIr at the PBE level of DFT.

It has space group P4/mmm (No. 123), with a = 4.5764 Å, b = 4.5764 Å, c = 3.3222 Å, α = 90.00°, β = 90.00° and γ = 90.00°. The distinct sites, in fractional coordinates, are Hf at (0.0000, 0.5000, 0.0000), Tc at (0.0000, 0.0000, 0.5000) and Ir at (0.5000, 0.5000, 0.5000).

The calculation puts the volume at 17.395 A^3/atom. The total moment comes out at 0.00 μB/f.u. Its crystal system is tetragonal. As for the density of states at the Fermi level: 1.13 states/eV per cell. Its formation energy is -3.4 eV/f.u.